# 1
DFT (PBE) results for an optimized crystal structure of PuHgBi3.

Values from the calculation:
crystal system = triclinic
ΔE_f = 0.0646 eV per atom
energy above the lowest structure with this stoichiometry = 0.033 eV per atom

abc: 6.1375 6.1386 6.1395
angles: 109.22 108.86 108.75
Closest atoms and distances in Å follow each position.
Space group P-1 (No. 2)
Unique sites:
Pu 0.0000 0.0000 0.0000 (multiplicity 1)  6 Bi 3.07, 2 Hg 3.15
Hg 0.5000 0.5000 0.5000 (multiplicity 1)  2 Pu 3.15
Bi 0.0000 0.0000 0.5000 (multiplicity 1)  2 Pu 3.07
Bi 0.0000 0.5000 0.0000 (multiplicity 1)  2 Pu 3.07
Bi 0.5000 0.0000 0.0000 (multiplicity 1)  2 Pu 3.07

# 2
DFT (PBE) results for an optimized crystal structure of Cu2Ag.

Values from the calculation:
crystal system = cubic
ΔE_f = 0.0614 eV per atom
energy above the lowest structure with this stoichiometry = 0.000 eV per atom

abc: 6.9692 6.9692 6.9692
angles: 90.00 90.00 90.00
Closest atoms and distances in Å follow each position.
Space group Fd-3m (No. 227, origin choice 2)
Unique sites:
Cu 0.0000 0.0000 0.0000 (multiplicity 16)  6 Cu 2.46
Ag 0.1250 0.1250 0.6250 (multiplicity 8)  12 Cu 2.89, 4 Ag 3.02

# 3
DFT (PBE) results for an optimized crystal structure of BaPdSe2O8.

Values from the calculation:
crystal system = trigonal

abc: 5.1798 5.1798 23.4037
angles: 90.00 90.00 120.00
Closest atoms and distances in Å follow each position.
Space group R-3 (No. 148, hexagonal axes)
Unique sites:
Ba 0.0000 0.0000 0.0000 (multiplicity 3)  12 O 3.02-3.11
Pd 0.0000 0.0000 0.5000 (multiplicity 3)  6 O 2.24
Se 0.0000 0.0000 0.2439 (multiplicity 6)  4 O 1.68-1.69
O 0.0000 0.0000 0.3158 (multiplicity 6)  1 Se 1.68
O 0.0038 0.3152 0.7758 (multiplicity 18)  1 Se 1.69

# 4
DFT (PBE) results for an optimized crystal structure of NdDy2Rh3.

Values from the calculation:
crystal system = trigonal
ΔE_f = -0.7889 eV per atom

abc: 4.8978 4.8978 6.0092
angles: 90.00 90.00 120.00
Closest atoms and distances in Å follow each position.
Space group P-3m1 (No. 164)
Unique sites:
Nd 0.0000 0.0000 0.0000 (multiplicity 1)  8 Rh 3.00-3.02
Dy 0.3333 0.6667 0.6636 (multiplicity 2)  8 Rh 2.93-3.08
Rh 0.0000 0.0000 0.5000 (multiplicity 1)  6 Dy 2.99, 2 Nd 3.00
Rh 0.3333 0.6667 0.1764 (multiplicity 2)  5 Dy 2.93-3.08, 3 Nd 3.02

| no. | total energy (eV/atom) | total magnetic moment (Bohr magnetons per cell) |
| --- | --- | --- |
| 1 | -5.191 | 5.33 |
| 2 | -3.620 | 0.00 |
| 3 | -5.478 | 6.00 |
| 4 | -6.793 | 0.00 |